# CsMnInO3, relaxed, DFT GGA+U
# Space-group type: Cmcm, No. 63
# Total magnetization in μB per atom: 0.8333
# E in eV per atom: -5.811
data_CsMnInO3
_symmetry_space_group_name_H-M 'P 1'
_symmetry_Int_Tables_number 1
_cell_length_a 5.9529
_cell_length_b 5.9559
_cell_length_c 6.3868
_cell_angle_alpha 117.79
_cell_angle_beta 90.00
_cell_angle_gamma 90.00
loop_
_symmetry_equiv_pos_as_xyz
'x,y,z'
loop_
_atom_site_label
_atom_site_fract_x
_atom_site_fract_y
_atom_site_fract_z
In1 0.2500 0.0664 0.1328
In2 0.7500 0.9336 0.8672
Cs1 0.7500 0.2553 0.5106
Cs2 0.2500 0.7447 0.4894
O1 0.0000 0.7524 0.0000
O2 0.2500 0.2493 0.4987
O3 0.5000 0.7524 0.0000
O4 0.0000 0.2476 0.0000
O5 0.5000 0.2476 0.0000
O6 0.7500 0.7507 0.5013
Mn1 0.7500 0.5700 0.1400
Mn2 0.2500 0.4300 0.8600